MoOsPt2 | PBE | optimized geometry Values from VASP.

Cell and atoms, written as Quantum ESPRESSO input:
```
&SYSTEM
  ibrav = 0, nat = 8, ntyp = 3
/
ATOMIC_SPECIES
Mo 95.94 Mo.upf
Os 190.23 Os.upf
Pt 195.08 Pt.upf
ATOMIC_POSITIONS crystal
Mo 0.0000 0.0000 0.0000
Mo 0.5000 0.5000 0.5000
Os 0.0000 0.0000 0.5000
Os 0.5000 0.5000 0.0000
Pt 0.0000 0.5000 0.2500
Pt 0.0000 0.5000 0.7500
Pt 0.5000 0.0000 0.2500
Pt 0.5000 0.0000 0.7500
CELL_PARAMETERS angstrom
3.8677 0.0000 0.0000
0.0000 3.8677 0.0000
0.0000 0.0000 8.1236
```

Output
E_tot in Ry per atom: -0.6311
Total magnetic moment in Bohr magnetons per cell: 0.00
Volume in Å³ per atom: 15.19
Crystal system: tetragonal
Relative energy among the computed polymorphs in eV/f.u.: 0.25
Formation enthalpy at 0 K in meV/atom: -51